Entry 1:
VASP calculation (GGA+U) on crystalline TmFeBO4 at its relaxed geometry.

abc: 5.729 5.822 5.822
angles: 62.47 60.53 60.53
Positions (direct):
1 B 0.380 0.370 0.870
2 O 0.728 0.740 0.240
3 O 0.271 0.691 0.766
4 O 0.293 0.740 0.240
5 Tm 0.000 0.000 0.000
6 O 0.272 0.260 0.760
7 Fe 0.000 0.000 0.500
8 O 0.729 0.309 0.234
9 B 0.620 0.630 0.130
10 O 0.271 0.266 0.191
11 Tm 0.000 0.500 0.500
12 O 0.729 0.734 0.809
13 Fe 0.500 0.000 0.500
14 O 0.707 0.260 0.760

Results
VASP energy = -104.6 eV for the cell shown
Crystal system = orthorhombic



Entry 2:
VASP calculation (GGA+U) on crystalline NbCrF5 at its relaxed geometry.

abc: 5.409 5.409 8.156
angles: 76.65 76.65 92.27
Positions (direct):
1 Cr 0.581 0.419 0.750
2 Cr 0.419 0.581 0.250
3 F 0.688 0.190 0.950
4 F 0.360 0.213 0.397
5 F 0.948 0.052 0.250
6 F 0.213 0.360 0.897
7 F 0.810 0.312 0.550
8 F 0.052 0.948 0.750
9 Nb 0.000 0.000 0.000
10 F 0.312 0.810 0.050
11 Nb 0.000 0.000 0.500
12 F 0.787 0.640 0.103
13 F 0.640 0.787 0.603
14 F 0.190 0.688 0.450

Results
VASP energy = -88.7 eV for the cell shown
Crystal system = monoclinic